Material: PmSm2NpN4
Method: DFT, PBE
State: relaxed

The uncorrected energy comes out at -8.95 eV/atom. The density of states at the Fermi level is 5.8 states/eV/f.u. Its uncorrected formation energy is -1391 meV per atom.

The space group is P2/m (No. 10) and the conventional cell measures 6.125, 3.550 and 6.134 Å, with angles of 90.00, 109.01 and 90.00 degrees. Symmetry generates all atoms from Pm at (0.000, 0.000, 0.000), Sm at (0.500, 0.000, 0.500), Sm at (0.500, 0.500, 0.000), Np at (0.000, 0.500, 0.500), N at (0.233, 0.500, 0.270) and N at (0.234, 0.000, 0.733).

=====

Material: Tm2Pd3Au2
Method: DFT, PBE
State: relaxed

The uncorrected energy comes out at -5.11 eV/atom. The calculation puts the energy above the most stable polymorph in this dataset at 42 meV/atom. The density of states at the Fermi level is 2.5 states/eV/f.u. As for the formation energy: -666 meV/atom.

The space group is C2/m (No. 12) and the conventional cell measures 10.107, 4.236 and 6.232 Å, with angles of 90.00, 93.82 and 90.00 degrees. Symmetry generates all atoms from Tm at (0.140, 0.000, 0.380), Pd at (0.000, 0.000, 0.000), Pd at (0.234, 0.500, 0.146) and Au at (0.072, 0.500, 0.719).

=====

Material: Ca2PbI6
Method: DFT, PBE
State: relaxed

The uncorrected energy comes out at -3.19 eV/atom. The calculation puts the energy above the most stable polymorph in this dataset at 0 meV/atom. The density of states at the Fermi level is 0.0 states/eV/f.u. Its uncorrected formation energy is -1302 meV per atom.

The space group is P-31m (No. 162) and the conventional cell measures 7.9575, 7.9575 and 7.6048 Å, with angles of 90.00, 90.00 and 120.00 degrees. Symmetry generates all atoms from Ca at (0.3333, 0.6667, 0.0000), Pb at (0.0000, 0.0000, 0.0000) and I at (0.0000, 0.3435, 0.7652).

=====

Material: VOsSeN2
Method: DFT, PBE
State: relaxed

The uncorrected energy comes out at -7.02 eV/atom. The calculation puts the energy above the most stable polymorph in this dataset at 452 meV/atom. The density of states at the Fermi level is 4.5 states/eV/f.u. Its uncorrected formation energy is 1079 meV per atom.

The space group is P4/mmm (No. 123) and the conventional cell measures 3.718, 3.718 and 5.293 Å, with angles of 90.00, 90.00 and 90.00 degrees. Symmetry generates all atoms from V at (0.000, 0.000, 0.000), Os at (0.500, 0.500, 0.500), Se at (0.000, 0.000, 0.500) and N at (0.000, 0.500, 0.000).

=====

Material: KSr2USe6
Method: DFT, PBE
State: relaxed

The uncorrected energy comes out at -4.99 eV/atom. The density of states at the Fermi level is 5.2 states/eV/f.u. Its uncorrected formation energy is -1321 meV per atom.

The space group is P2_1/c (No. 14) and the conventional cell measures 7.499, 8.237 and 12.207 Å, with angles of 90.00, 122.48 and 90.00 degrees. Symmetry generates all atoms from K at (0.000, 0.000, 0.000), Sr at (0.189, 0.093, 0.728), U at (0.500, 0.000, 0.500), Se at (0.153, 0.172, 0.441), Se at (0.258, 0.728, 0.399) and Se at (0.442, 0.083, 0.272).

=====

Material: NiBW2
Method: DFT, PBE
State: relaxed

The uncorrected energy comes out at -9.19 eV/atom. The density of states at the Fermi level is 2.8 states/eV/f.u. As for the formation energy: 398 meV/atom.

The space group is I-42d (No. 122) and the conventional cell measures 6.263, 6.263 and 5.322 Å, with angles of 90.00, 90.00 and 90.00 degrees. Symmetry generates all atoms from Ni at (0.000, 0.000, 0.000), B at (0.000, 0.000, 0.500) and W at (0.215, 0.250, 0.625).

=====

Material: Na2CeSbS4
Method: DFT, PBE
State: relaxed

The uncorrected energy comes out at -4.84 eV/atom. The density of states at the Fermi level is 5.2 states/eV/f.u. Its uncorrected formation energy is -1191 meV per atom.

The space group is P2/m (No. 10) and the conventional cell measures 7.056, 4.107 and 7.060 Å, with angles of 90.00, 109.47 and 90.00 degrees. Symmetry generates all atoms from Na at (0.000, 0.000, 0.000), Na at (0.000, 0.500, 0.500), Ce at (0.500, 0.000, 0.500), Sb at (0.500, 0.500, 0.000), S at (0.269, 0.500, 0.252) and S at (0.270, 0.000, 0.761).

=====

Material: CsSnAs
Method: DFT, PBE
State: relaxed

The uncorrected energy comes out at -3.52 eV/atom. As for the formation energy: -354 meV/atom.

The space group is C2/m (No. 12) and the conventional cell measures 13.147, 4.189 and 9.748 Å, with angles of 90.00, 125.87 and 90.00 degrees. Symmetry generates all atoms from Cs at (0.069, 0.000, 0.370), Sn at (0.140, 0.500, 0.022) and As at (0.216, 0.500, 0.773).

=====

Material: LuSn2Bi
Method: DFT, PBE
State: relaxed

The uncorrected energy comes out at -4.34 eV/atom. The calculation puts the energy above the most stable polymorph in this dataset at 28 meV/atom. The density of states at the Fermi level is 2.7 states/eV/f.u. As for the formation energy: -239 meV/atom.

The space group is P4/mmm (No. 123) and the conventional cell measures 4.141, 4.141 and 6.413 Å, with angles of 90.00, 90.00 and 90.00 degrees. Symmetry generates all atoms from Lu at (0.000, 0.000, 0.000), Sn at (0.500, 0.500, 0.238) and Bi at (0.000, 0.000, 0.500).

=====

Material: Nd2Ga4Cu3Ru
Method: DFT, PBE
State: relaxed

The uncorrected energy comes out at -4.76 eV/atom. The density of states at the Fermi level is 5.5 states/eV/f.u. As for the formation energy: -435 meV/atom.

The space group is P-4m2 (No. 115) and the conventional cell measures 4.165, 4.165 and 10.468 Å, with angles of 90.00, 90.00 and 90.00 degrees. Symmetry generates all atoms from Nd at (0.000, 0.500, 0.250), Ga at (0.000, 0.000, 0.000), Ga at (0.000, 0.500, 0.632), Ga at (0.500, 0.500, 0.000), Cu at (0.000, 0.500, 0.867), Cu at (0.500, 0.500, 0.500) and Ru at (0.000, 0.000, 0.500).

=====

Material: Si2SnRhO
Method: DFT, PBE
State: relaxed

The uncorrected energy comes out at -6.18 eV/atom. The calculation puts the energy above the most stable polymorph in this dataset at 42 meV/atom. The density of states at the Fermi level is 1.1 states/eV/f.u. Its uncorrected formation energy is -745 meV per atom.

The space group is Amm2 (No. 38) and the conventional cell measures 2.945, 6.608 and 10.181 Å, with angles of 90.00, 90.00 and 90.00 degrees. Symmetry generates all atoms from Si at (0.000, 0.222, 0.000), Sn at (0.000, 0.000, 0.223), Rh at (0.500, 0.000, 0.448) and O at (0.000, 0.000, 0.918).

=====

Material: Y2LuCu
Method: DFT, PBE
State: relaxed

The uncorrected energy comes out at -5.13 eV/atom. The calculation puts the energy above the most stable polymorph in this dataset at 340 meV/atom. The density of states at the Fermi level is 6.1 states/eV/f.u. As for the formation energy: 261 meV/atom.

The space group is R-3m (No. 166, hexagonal axes) and the conventional cell measures 3.5549, 3.5549 and 31.6697 Å, with angles of 90.00, 90.00 and 120.00 degrees. Symmetry generates all atoms from Y at (0.0000, 0.0000, 0.1053), Lu at (0.0000, 0.0000, 0.0000) and Cu at (0.0000, 0.0000, 0.5000).

=====

Material: NaLiHgSe
Method: DFT, PBE
State: relaxed

The uncorrected energy comes out at -2.43 eV/atom. The density of states at the Fermi level is 0.1 states/eV/f.u. Its uncorrected formation energy is -674 meV per atom.

The space group is F-43m (No. 216) and the conventional cell measures 7.087, 7.087 and 7.087 Å, with angles of 90.00, 90.00 and 90.00 degrees. Symmetry generates all atoms from Na at (0.000, 0.000, 0.000), Li at (0.000, 0.000, 0.500), Hg at (0.250, 0.250, 0.750) and Se at (0.250, 0.250, 0.250).

=====

Material: PrNd3Sm3Zn2
Method: DFT, PBE
State: relaxed

The uncorrected energy comes out at -3.98 eV/atom. The density of states at the Fermi level is 13.6 states/eV/f.u. As for the formation energy: -3 meV/atom.

The space group is P-62m (No. 189) and the conventional cell measures 9.2036, 9.2036 and 3.7261 Å, with angles of 90.00, 90.00 and 120.00 degrees. Symmetry generates all atoms from Pr at (0.0000, 0.0000, 0.0000), Nd at (0.0000, 0.3111, 0.5000), Sm at (0.0000, 0.6176, 0.0000) and Zn at (0.3333, 0.6667, 0.5000).

=====

Material: Y2PaZn
Method: DFT, PBE
State: relaxed

The uncorrected energy comes out at -5.68 eV/atom. The calculation puts the energy above the most stable polymorph in this dataset at 302 meV/atom. The density of states at the Fermi level is 6.4 states/eV/f.u. As for the formation energy: 246 meV/atom.

The space group is R-3m (No. 166, hexagonal axes) and the conventional cell measures 3.2920, 3.2920 and 33.8490 Å, with angles of 90.00, 90.00 and 120.00 degrees. Symmetry generates all atoms from Y at (0.0000, 0.0000, 0.0967), Pa at (0.0000, 0.0000, 0.0000) and Zn at (0.0000, 0.0000, 0.5000).

=====

Material: Ac3NdSb4
Method: DFT, PBE
State: relaxed

The uncorrected energy comes out at -5.38 eV/atom. The calculation puts the energy above the most stable polymorph in this dataset at 11 meV/atom. The density of states at the Fermi level is 1.5 states/eV/f.u. Its uncorrected formation energy is -1186 meV per atom.

The space group is Pm-3m (No. 221) and the conventional cell measures 6.701, 6.701 and 6.701 Å, with angles of 90.00, 90.00 and 90.00 degrees. Symmetry generates all atoms from Ac at (0.000, 0.000, 0.500), Nd at (0.500, 0.500, 0.500), Sb at (0.000, 0.000, 0.000) and Sb at (0.000, 0.500, 0.500).

=====

Material: Zr3V3N
Method: DFT, PBE
State: relaxed

The uncorrected energy comes out at -9.27 eV/atom. The density of states at the Fermi level is 7.6 states/eV/f.u. Its uncorrected formation energy is -512 meV per atom.

The space group is Fd-3m (No. 227, origin choice 2) and the conventional cell measures 12.165, 12.165 and 12.165 Å, with angles of 90.00, 90.00 and 90.00 degrees. Symmetry generates all atoms from Zr at (0.063, 0.375, 0.375), V at (0.000, 0.000, 0.500), V at (0.048, 0.048, 0.702) and N at (0.000, 0.000, 0.000).

=====

Material: TaRu3C
Method: DFT, PBE
State: relaxed

The uncorrected energy comes out at -6.89 eV/atom. The calculation puts the energy above the most stable polymorph in this dataset at 2968 meV/atom. The density of states at the Fermi level is 7.3 states/eV/f.u. As for the formation energy: 2889 meV/atom.

The space group is Pm-3m (No. 221) and the conventional cell measures 4.726, 4.726 and 4.726 Å, with angles of 90.00, 90.00 and 90.00 degrees. Symmetry generates all atoms from Ta at (0.000, 0.000, 0.000), Ru at (0.000, 0.000, 0.500) and C at (0.500, 0.500, 0.500).

=====

Material: AcPmCo2
Method: DFT, PBE
State: relaxed

The uncorrected energy comes out at -5.63 eV/atom. The calculation puts the energy above the most stable polymorph in this dataset at 166 meV/atom. The density of states at the Fermi level is 2.8 states/eV/f.u. As for the formation energy: 138 meV/atom.

The space group is P4/mmm (No. 123) and the conventional cell measures 3.554, 3.554 and 7.075 Å, with angles of 90.00, 90.00 and 90.00 degrees. Symmetry generates all atoms from Ac at (0.000, 0.000, 0.000), Pm at (0.000, 0.000, 0.500) and Co at (0.500, 0.500, 0.269).

=====

Material: KBa2SbS
Method: DFT, PBE
State: relaxed

The uncorrected energy comes out at -3.77 eV/atom. Its uncorrected formation energy is -1132 meV per atom.

The space group is P4mm (No. 99) and the conventional cell measures 6.085, 6.085 and 6.045 Å, with angles of 90.00, 90.00 and 90.00 degrees. Symmetry generates all atoms from K at (0.000, 0.000, 0.000), Ba at (0.000, 0.500, 0.452), Sb at (0.500, 0.500, 0.126) and S at (0.000, 0.000, 0.509).

=====

Material: Cu5Sb3I12
Method: DFT, PBE
State: relaxed

The uncorrected energy comes out at -2.59 eV/atom. The density of states at the Fermi level is 1.9 states/eV/f.u. Its uncorrected formation energy is -16 meV per atom.

The space group is Ia-3d (No. 230) and the conventional cell measures 17.506, 17.506 and 17.506 Å, with angles of 90.00, 90.00 and 90.00 degrees. Symmetry generates all atoms from Cu at (0.000, 0.000, 0.000), Cu at (0.000, 0.250, 0.375), Sb at (0.000, 0.250, 0.125) and I at (0.023, 0.049, 0.654).

=====

For each record above, in turn, the calculated theoretical density values are 9.7; 13.1; 4.2; 7.9; 4.8; 13.9; 3.8; 5.0; 9.4; 7.9; 4.9; 6.0; 5.8; 7.0; 7.4; 7.2; 6.5; 7.8; 9.1; 3.5; 5.5 g/cm³.